Record 1
! BaMnCuH6 PBE relaxed; values from VASP
! - Crystal system: hexagonal
! - Volume: 10.60 Å³/atom
! - Electronic total energy: -4.14 eV/atom
! - DOS(E_F): 0.228 states/eV/atom
&SYSTEM
  ibrav = 0, nat = 9, ntyp = 4
/
ATOMIC_SPECIES
H 1.01 H.upf
Cu 63.55 Cu.upf
Ba 137.33 Ba.upf
Mn 54.94 Mn.upf
ATOMIC_POSITIONS angstrom
H 2.341 0.068 1.436
H 3.452 1.993 3.592
H 1.228 1.993 1.436
H 2.340 0.067 3.592
H 1.229 1.993 3.592
Cu 4.681 2.702 2.514
Ba 4.681 0.000 5.028
Mn 2.340 1.351 2.514
H 3.452 1.993 1.436
CELL_PARAMETERS angstrom
4.681 0.000 0.000
2.340 4.054 0.000
0.000 0.000 5.029

Record 2
! Ba2NaCuH PBE relaxed; values from VASP
! - Crystal system: tetragonal
! - Volume: 29.33 Å³/atom
! - Electronic total energy: -2.55 eV/atom
! - DOS(E_F): 0.906 states/eV/atom
&SYSTEM
  ibrav = 0, nat = 5, ntyp = 4
/
ATOMIC_SPECIES
Ba 137.33 Ba.upf
Cu 63.55 Cu.upf
H 1.01 H.upf
Na 22.99 Na.upf
ATOMIC_POSITIONS angstrom
Ba -2.328 -1.516 -0.405
Cu -4.101 0.562 2.010
H 0.000 0.000 0.000
Ba -1.544 2.341 0.115
Na -0.228 -0.263 2.300
CELL_PARAMETERS angstrom
-3.088 4.683 0.229
-4.656 -3.031 -0.809
-0.457 -0.527 4.600

Record 3
! BaNa2CuH PBE relaxed; values from VASP
! - Crystal system: tetragonal
! - Volume: 24.87 Å³/atom
! - Electronic total energy: -2.36 eV/atom
! - DOS(E_F): 0.629 states/eV/atom
&SYSTEM
  ibrav = 0, nat = 5, ntyp = 4
/
ATOMIC_SPECIES
H 1.01 H.upf
Na 22.99 Na.upf
Cu 63.55 Cu.upf
Ba 137.33 Ba.upf
ATOMIC_POSITIONS angstrom
H 0.000 0.000 0.000
Na -0.279 2.280 -0.405
Cu -3.918 1.920 0.074
Na -1.655 -0.482 -1.572
Ba -1.984 0.122 2.051
CELL_PARAMETERS angstrom
-0.558 4.561 -0.811
-3.310 -0.964 -3.144
-3.967 0.243 4.102

Record 4
! Ba2CuNiH6 PBE relaxed; values from VASP
! - Crystal system: tetragonal
! - Volume: 12.63 Å³/atom
! - Electronic total energy: -3.71 eV/atom
! - DOS(E_F): 0.220 states/eV/atom
&SYSTEM
  ibrav = 0, nat = 10, ntyp = 4
/
ATOMIC_SPECIES
H 1.01 H.upf
Cu 63.55 Cu.upf
Ba 137.33 Ba.upf
Ni 58.69 Ni.upf
ATOMIC_POSITIONS angstrom
H -0.098 -1.992 4.195
Cu -0.321 -3.295 2.286
Ba -2.316 -2.524 -0.417
H -0.194 -1.951 1.353
Ba -1.936 -0.301 2.838
H 1.989 -3.569 2.204
H -6.242 0.744 0.217
Ni 0.060 -1.072 5.543
H -4.059 -0.873 1.068
H -0.543 -4.600 0.378
CELL_PARAMETERS angstrom
-3.551 2.695 3.393
-4.310 -1.753 -3.119
3.612 -3.766 2.152